(1)
# Li2Ni2SnO6 (PBEsol, relaxed)
# Theoretical density (Mg/m³): 5.06
# ΔE_f (raw) (eV/atom): -1.357
data_Li2Ni2SnO6
_space_group_name_H-M_alt 'C m c e'
_space_group_IT_number 64
_space_group_name_Hall '-C 2ac 2'
_cell_length_a 8.7131
_cell_length_b 5.2569
_cell_length_c 9.9248
_cell_angle_alpha 90.00
_cell_angle_beta 90.00
_cell_angle_gamma 90.00
loop_
_atom_site_label
_atom_site_fract_x
_atom_site_fract_y
_atom_site_fract_z
_atom_site_occupancy
Li1 0.2500 0.1112 0.2500 1
Ni1 0.1624 0.0000 0.0000 1
Sn1 0.0000 0.0000 0.5000 1
O1 0.0000 0.1465 0.9014 1
O2 0.1832 0.1459 0.6087 1

=====

(2)
# Li3Ni2SnO6 (PBEsol, relaxed)
# Theoretical density (Mg/m³): 5.30
# ΔE_f (raw) (eV/atom): -1.451
# Excess energy over the best structure of this formula in the dataset (meV per atom): 4
data_Li3Ni2SnO6
_space_group_name_H-M_alt 'C 1 2/m 1'
_space_group_IT_number 12
_space_group_name_Hall '-C 2y'
_cell_length_a 12.9159
_cell_length_b 2.9730
_cell_length_c 5.8985
_cell_angle_alpha 90.00
_cell_angle_beta 102.46
_cell_angle_gamma 90.00
loop_
_atom_site_label
_atom_site_fract_x
_atom_site_fract_y
_atom_site_fract_z
_atom_site_occupancy
Li1 0.0000 0.0000 0.0000 1
Li2 0.1774 0.5000 0.3159 1
Ni1 0.1696 0.5000 0.8454 1
Sn1 0.0000 0.0000 0.5000 1
O1 0.0050 0.5000 0.2579 1
O2 0.1631 0.0000 0.6095 1
O3 0.1700 0.0000 0.0607 1

=====

(3)
# Li3Ni4SnO8 (PBEsol, relaxed)
# Theoretical density (Mg/m³): 5.81
# ΔE_f (raw) (eV/atom): -1.251
data_Li3Ni4SnO8
_space_group_name_H-M_alt 'C 1 2/m 1'
_space_group_IT_number 12
_space_group_name_Hall '-C 2y'
_cell_length_a 10.1431
_cell_length_b 5.8678
_cell_length_c 5.8939
_cell_angle_alpha 90.00
_cell_angle_beta 125.07
_cell_angle_gamma 90.00
loop_
_atom_site_label
_atom_site_fract_x
_atom_site_fract_y
_atom_site_fract_z
_atom_site_occupancy
Li1 0.0000 0.0000 0.0000 1
Li2 0.2500 0.2500 0.5000 1
Ni1 0.0000 0.0000 0.5000 1
Ni2 0.0000 0.5000 0.0000 1
Ni3 0.2500 0.2500 0.0000 1
Sn1 0.0000 0.5000 0.5000 1
O1 0.0023 0.2511 0.2552 1
O2 0.2481 0.5000 0.2217 1
O3 0.2478 0.5000 0.7678 1

=====

(4)
# Li4Ti3Ni3Sn2O16 (PBEsol, relaxed)
# Theoretical density (Mg/m³): 4.90
# ΔE_f (raw) (eV/atom): -1.986
data_Li4Ti3Ni3Sn2O16
_space_group_name_H-M_alt 'P 1'
_space_group_IT_number 1
_space_group_name_Hall 'P 1'
_cell_length_a 5.8115
_cell_length_b 5.8155
_cell_length_c 9.6654
_cell_angle_alpha 89.92
_cell_angle_beta 89.81
_cell_angle_gamma 60.78
loop_
_atom_site_label
_atom_site_fract_x
_atom_site_fract_y
_atom_site_fract_z
_atom_site_occupancy
Li1 0.0000 0.0000 0.0000 1
Li2 0.0056 0.0022 0.4985 1
Li3 0.3319 0.3237 0.3974 1
Li4 0.6631 0.6604 0.9067 1
Ti1 0.1630 0.6539 0.7205 1
Ti2 0.6554 0.1599 0.7218 1
Ti3 0.8294 0.8223 0.2211 1
Ni1 0.1731 0.1714 0.7194 1
Ni2 0.3393 0.8221 0.2213 1
Ni3 0.8329 0.3352 0.2190 1
Sn1 0.3275 0.3268 0.0013 1
Sn2 0.6590 0.6509 0.4942 1
O1 0.0294 0.4901 0.8507 1
O2 0.1495 0.1576 0.1114 1
O3 0.1648 0.6780 0.1114 1
O4 0.3181 0.8271 0.6060 1
O5 0.3436 0.3401 0.6060 1
O6 0.4801 0.4787 0.8408 1
O7 0.4876 0.0272 0.8491 1
O8 0.5041 0.9575 0.3394 1
O9 0.5251 0.5006 0.3338 1
O10 0.6749 0.1393 0.1044 1
O11 0.6784 0.6472 0.1137 1
O12 0.8298 0.8301 0.6089 1
O13 0.8322 0.3138 0.6075 1
O14 0.9694 0.5331 0.3509 1
O15 0.9876 0.0137 0.3120 1
O16 0.9945 0.9925 0.8126 1